meta-GGA SCAN SnBiCl2, single point on PBEsol structure; ΔE_f (raw) = -0.468 eV per atom; ρ = 6.39 g cm⁻³
1.0
-1.290 -0.309 -3.184
0.423 -2.939 -1.754
-8.890 -4.604 2.181
Sn Cl Bi
1 2 1
Cartesian
-4.879 -3.926 -1.379
-3.168 -4.190 -3.914
-6.589 -3.662 1.157
0.000 0.000 0.000